Density functional theory data (PBE) for a relaxed structure of HfSc5P6.

```
HfSc5P6
1.0
6.408 0.156 0.973
1.574 5.435 3.168
0.108 0.061 6.477
P Sc Hf
6 5 1
direct
0.751 0.083 0.331
0.249 0.248 0.000
0.249 0.917 0.669
0.751 0.414 0.669
0.751 0.752 0.000
0.249 0.586 0.331
0.000 0.666 0.667
0.000 0.334 0.333
0.500 0.833 0.335
0.500 0.167 0.665
0.500 0.500 0.000
0.000 0.000 0.000
```

Properties
size of the total moment	0.00	μB per formula unit
energy relative to the elements	-17.82	eV/f.u.
electronic total energy	-91.895	eV per cell
space group	C2/m